DFT (PBE) results for a geometry-optimized SiNiAsP2 structure.

Cell and atoms, written as CIF:
```
data_SiNiAsP2
_chemical_formula_sum 'Si2 Ni2 As2 P4'
_cell_length_a 9.607
_cell_length_b 3.461
_cell_length_c 6.177
_cell_angle_alpha 90.00
_cell_angle_beta 122.38
_cell_angle_gamma 90.00
_symmetry_space_group_name_H-M 'C 1 m 1'
_symmetry_Int_Tables_number 8
_symmetry_space_group_name_Hall 'C -2y'
loop_
_atom_site_label
_atom_site_fract_x
_atom_site_fract_y
_atom_site_fract_z
Si1 0.000 0.000 0.000
Ni1 0.451 0.000 0.393
As1 0.170 0.000 0.453
P1 0.050 0.500 0.813
P2 0.322 0.500 0.126
```

Calculated values
total magnetization: 0.000 μB per atom
offset from the most stable computed form: 150 meV per atom
E: -5.40 eV per atom

***

DFT (PBE) results for a geometry-optimized SiNiAsP2 structure.

Cell and atoms, written as CIF:
```
data_SiNiAsP2
_chemical_formula_sum 'Si1 Ni1 As1 P2'
_cell_length_a 3.474
_cell_length_b 5.175
_cell_length_c 5.717
_cell_angle_alpha 64.28
_cell_angle_beta 72.39
_cell_angle_gamma 71.58
_symmetry_space_group_name_H-M 'P 1'
_symmetry_Int_Tables_number 1
_symmetry_space_group_name_Hall 'P 1'
loop_
_atom_site_label
_atom_site_fract_x
_atom_site_fract_y
_atom_site_fract_z
Si1 0.000 0.000 0.000
Ni1 0.092 0.523 0.278
As1 0.105 0.032 0.561
P1 0.363 0.324 0.962
P2 0.444 0.597 0.502
```

Calculated values
total magnetization: 0.000 μB per atom
offset from the most stable computed form: 109 meV per atom
E: -5.44 eV per atom

***

DFT (PBE) results for a geometry-optimized SiNiAsP2 structure.

Cell and atoms, written as CIF:
```
data_SiNiAsP2
_chemical_formula_sum 'Si1 Ni1 As1 P2'
_cell_length_a 4.705
_cell_length_b 3.621
_cell_length_c 5.228
_cell_angle_alpha 90.00
_cell_angle_beta 103.71
_cell_angle_gamma 90.00
_symmetry_space_group_name_H-M 'P 1 m 1'
_symmetry_Int_Tables_number 6
_symmetry_space_group_name_Hall 'P -2y'
loop_
_atom_site_label
_atom_site_fract_x
_atom_site_fract_y
_atom_site_fract_z
Si1 0.000 0.000 0.000
Ni1 0.642 0.500 0.466
As1 0.668 0.500 0.982
P1 0.342 0.000 0.391
P2 0.951 0.000 0.555
```

Calculated values
total magnetization: 0.000 μB per atom
offset from the most stable computed form: 89 meV per atom
E: -5.46 eV per atom

***

DFT (PBE) results for a geometry-optimized SiNiAsP2 structure.

Cell and atoms, written as CIF:
```
data_SiNiAsP2
_chemical_formula_sum 'Si2 Ni2 As2 P4'
_cell_length_a 11.562
_cell_length_b 2.685
_cell_length_c 5.417
_cell_angle_alpha 90.00
_cell_angle_beta 106.51
_cell_angle_gamma 90.00
_symmetry_space_group_name_H-M 'C 1 m 1'
_symmetry_Int_Tables_number 8
_symmetry_space_group_name_Hall 'C -2y'
loop_
_atom_site_label
_atom_site_fract_x
_atom_site_fract_y
_atom_site_fract_z
Si1 0.000 0.000 0.000
Ni1 0.412 0.000 0.650
As1 0.219 0.000 0.069
P1 0.002 0.000 0.432
P2 0.206 0.000 0.627
```

Calculated values
total magnetization: 0.000 μB per atom
offset from the most stable computed form: 162 meV per atom
E: -5.39 eV per atom

***

DFT (PBE) results for a geometry-optimized SiNiAsP2 structure.

Cell and atoms, written as CIF:
```
data_SiNiAsP2
_chemical_formula_sum 'Si1 Ni1 As1 P2'
_cell_length_a 3.640
_cell_length_b 4.988
_cell_length_c 5.349
_cell_angle_alpha 109.47
_cell_angle_beta 95.81
_cell_angle_gamma 99.17
_symmetry_space_group_name_H-M 'P 1'
_symmetry_Int_Tables_number 1
_symmetry_space_group_name_Hall 'P 1'
loop_
_atom_site_label
_atom_site_fract_x
_atom_site_fract_y
_atom_site_fract_z
Si1 0.000 0.000 0.000
Ni1 0.152 0.464 0.991
As1 0.643 0.505 0.697
P1 0.548 0.965 0.272
P2 0.700 0.552 0.254
```

Calculated values
total magnetization: 0.000 μB per atom
offset from the most stable computed form: 247 meV per atom
E: -5.30 eV per atom

***

DFT (PBE) results for a geometry-optimized SiNiAsP2 structure.

Cell and atoms, written as CIF:
```
data_SiNiAsP2
_chemical_formula_sum 'Si2 Ni2 As2 P4'
_cell_length_a 10.093
_cell_length_b 3.636
_cell_length_c 4.830
_cell_angle_alpha 90.00
_cell_angle_beta 110.48
_cell_angle_gamma 90.00
_symmetry_space_group_name_H-M 'C 1 m 1'
_symmetry_Int_Tables_number 8
_symmetry_space_group_name_Hall 'C -2y'
loop_
_atom_site_label
_atom_site_fract_x
_atom_site_fract_y
_atom_site_fract_z
Si1 0.000 0.000 0.000
Ni1 0.269 0.500 0.683
As1 0.340 0.000 0.435
P1 0.052 0.500 0.323
P2 0.210 0.000 0.915
```

Calculated values
total magnetization: 0.000 μB per atom
offset from the most stable computed form: 0 meV per atom
E: -5.55 eV per atom

***

DFT (PBE) results for a geometry-optimized SiNiAsP2 structure.

Cell and atoms, written as CIF:
```
data_SiNiAsP2
_chemical_formula_sum 'Si2 Ni2 As2 P4'
_cell_length_a 11.596
_cell_length_b 2.716
_cell_length_c 5.410
_cell_angle_alpha 90.00
_cell_angle_beta 105.48
_cell_angle_gamma 90.00
_symmetry_space_group_name_H-M 'C 1 m 1'
_symmetry_Int_Tables_number 8
_symmetry_space_group_name_Hall 'C -2y'
loop_
_atom_site_label
_atom_site_fract_x
_atom_site_fract_y
_atom_site_fract_z
Si1 0.000 0.000 0.000
Ni1 0.412 0.000 0.245
As1 0.211 0.000 0.619
P1 0.206 0.000 0.185
P2 0.497 0.500 0.566
```

Calculated values
total magnetization: 0.000 μB per atom
offset from the most stable computed form: 150 meV per atom
E: -5.40 eV per atom

***

DFT (PBE) results for a geometry-optimized SiNiAsP2 structure.

Cell and atoms, written as CIF:
```
data_SiNiAsP2
_chemical_formula_sum 'Si1 Ni1 As1 P2'
_cell_length_a 3.578
_cell_length_b 4.291
_cell_length_c 5.575
_cell_angle_alpha 72.39
_cell_angle_beta 84.28
_cell_angle_gamma 88.36
_symmetry_space_group_name_H-M 'P 1'
_symmetry_Int_Tables_number 1
_symmetry_space_group_name_Hall 'P 1'
loop_
_atom_site_label
_atom_site_fract_x
_atom_site_fract_y
_atom_site_fract_z
Si1 0.000 0.000 0.000
Ni1 0.040 0.540 0.768
As1 0.431 0.332 0.448
P1 0.514 0.645 0.001
P2 0.960 0.961 0.426
```

Calculated values
total magnetization: 0.000 μB per atom
offset from the most stable computed form: 124 meV per atom
E: -5.43 eV per atom

***

DFT (PBE) results for a geometry-optimized SiNiAsP2 structure.

Cell and atoms, written as CIF:
```
data_SiNiAsP2
_chemical_formula_sum 'Si1 Ni1 As1 P2'
_cell_length_a 3.735
_cell_length_b 4.643
_cell_length_c 5.456
_cell_angle_alpha 65.99
_cell_angle_beta 70.06
_cell_angle_gamma 89.32
_symmetry_space_group_name_H-M 'P 1'
_symmetry_Int_Tables_number 1
_symmetry_space_group_name_Hall 'P 1'
loop_
_atom_site_label
_atom_site_fract_x
_atom_site_fract_y
_atom_site_fract_z
Si1 0.000 0.000 0.000
Ni1 0.263 0.288 0.471
As1 0.650 0.436 0.692
P1 0.337 0.874 0.332
P2 0.910 0.421 0.176
```

Calculated values
total magnetization: 0.000 μB per atom
offset from the most stable computed form: 270 meV per atom
E: -5.28 eV per atom

***

DFT (PBE) results for a geometry-optimized SiNiAsP2 structure.

Cell and atoms, written as CIF:
```
data_SiNiAsP2
_chemical_formula_sum 'Si1 Ni1 As1 P2'
_cell_length_a 3.625
_cell_length_b 4.844
_cell_length_c 5.357
_cell_angle_alpha 70.65
_cell_angle_beta 70.23
_cell_angle_gamma 89.90
_symmetry_space_group_name_H-M 'P 1'
_symmetry_Int_Tables_number 1
_symmetry_space_group_name_Hall 'P 1'
loop_
_atom_site_label
_atom_site_fract_x
_atom_site_fract_y
_atom_site_fract_z
Si1 0.000 0.000 0.000
Ni1 0.218 0.355 0.565
As1 0.780 0.088 0.442
P1 0.449 0.677 0.104
P2 0.649 0.570 0.702
```

Calculated values
total magnetization: 0.000 μB per atom
offset from the most stable computed form: 7 meV per atom
E: -5.54 eV per atom

***

DFT (PBE) results for a geometry-optimized SiNiAsP2 structure.

Cell and atoms, written as CIF:
```
data_SiNiAsP2
_chemical_formula_sum 'Si1 Ni1 As1 P2'
_cell_length_a 4.445
_cell_length_b 4.465
_cell_length_c 4.647
_cell_angle_alpha 82.93
_cell_angle_beta 83.46
_cell_angle_gamma 76.26
_symmetry_space_group_name_H-M 'P 1'
_symmetry_Int_Tables_number 1
_symmetry_space_group_name_Hall 'P 1'
loop_
_atom_site_label
_atom_site_fract_x
_atom_site_fract_y
_atom_site_fract_z
Si1 0.000 0.000 0.000
Ni1 0.145 0.615 0.349
As1 0.558 0.452 0.009
P1 0.332 0.217 0.666
P2 0.765 0.810 0.662
```

Calculated values
total magnetization: 0.000 μB per atom
offset from the most stable computed form: 175 meV per atom
E: -5.37 eV per atom

***

DFT (PBE) results for a geometry-optimized SiNiAsP2 structure.

Cell and atoms, written as CIF:
```
data_SiNiAsP2
_chemical_formula_sum 'Si2 Ni2 As2 P4'
_cell_length_a 10.155
_cell_length_b 3.642
_cell_length_c 4.712
_cell_angle_alpha 90.00
_cell_angle_beta 107.54
_cell_angle_gamma 90.00
_symmetry_space_group_name_H-M 'C 1 m 1'
_symmetry_Int_Tables_number 8
_symmetry_space_group_name_Hall 'C -2y'
loop_
_atom_site_label
_atom_site_fract_x
_atom_site_fract_y
_atom_site_fract_z
Si1 0.000 0.000 0.000
Ni1 0.224 0.000 0.304
As1 0.455 0.000 0.649
P1 0.172 0.500 0.555
P2 0.281 0.500 0.052
```

Calculated values
total magnetization: 0.000 μB per atom
offset from the most stable computed form: 29 meV per atom
E: -5.52 eV per atom

***

- What is the formula in the ninth record?
  SiNiAsP2

***

Copy entry 1 word for word.
DFT (PBE) results for a geometry-optimized SiNiAsP2 structure.

Cell and atoms, written as CIF:
```
data_SiNiAsP2
_chemical_formula_sum 'Si2 Ni2 As2 P4'
_cell_length_a 9.607
_cell_length_b 3.461
_cell_length_c 6.177
_cell_angle_alpha 90.00
_cell_angle_beta 122.38
_cell_angle_gamma 90.00
_symmetry_space_group_name_H-M 'C 1 m 1'
_symmetry_Int_Tables_number 8
_symmetry_space_group_name_Hall 'C -2y'
loop_
_atom_site_label
_atom_site_fract_x
_atom_site_fract_y
_atom_site_fract_z
Si1 0.000 0.000 0.000
Ni1 0.451 0.000 0.393
As1 0.170 0.000 0.453
P1 0.050 0.500 0.813
P2 0.322 0.500 0.126
```

Calculated values
total magnetization: 0.000 μB per atom
offset from the most stable computed form: 150 meV per atom
E: -5.40 eV per atom

***

- offset from the most stable computed form of number 1 (SiNiAsP2)?
  150 meV per atom